Entry 1:
TiAg2Cl, optimized geometry, DFT PBE-GGA; E above lowest polymorph = 0.0 kJ per mole of atoms; total magnetic moment = 1.0 μB/f.u.; space group = I-42d; raw total energy = -3.69 eV per atom
1.0
7.8587 0.0000 0.0000
0.0000 7.8587 0.0000
0.0000 0.0000 5.2420
Ti Ag Cl
4 8 4
Cartesian
0.0000 0.0000 0.0000
0.0000 3.9294 1.3105
3.9294 0.0000 3.9315
3.9294 3.9294 2.6210
1.9573 5.8940 3.2762
1.9647 1.9573 1.9657
1.9647 1.9720 4.5867
1.9720 5.8940 0.6552
5.8867 1.9647 0.6552
5.8940 5.8867 4.5867
5.8940 5.9014 1.9657
5.9014 1.9647 3.2762
0.0000 0.0000 2.6210
0.0000 3.9294 3.9315
3.9294 0.0000 1.3105
3.9294 3.9294 0.0000

---

Entry 2:
Ti3AgCl, optimized geometry, DFT PBE-GGA; total magnetic moment = 4.1 μB/f.u.; space group = Pm-3m; raw total energy = -4.68 eV per atom
1.0
5.0182 0.0000 0.0000
0.0000 5.0182 0.0000
0.0000 0.0000 5.0182
Ti Ag Cl
3 1 1
Cartesian
0.0000 0.0000 2.5091
0.0000 2.5091 0.0000
2.5091 0.0000 0.0000
0.0000 0.0000 0.0000
2.5091 2.5091 2.5091

---

Entry 3:
TiAgCl6, optimized geometry, DFT PBE-GGA; E above lowest polymorph = 0.0 kJ per mole of atoms; total magnetic moment = 0.0 μB/f.u.; space group = C2/m; raw total energy = -3.77 eV per atom
1.0
6.5541 0.0000 0.0000
0.0000 11.9766 0.0000
-2.8155 0.0000 5.9106
Ti Ag Cl
2 2 12
Cartesian
0.0000 0.0000 0.0000
3.2771 5.9883 0.0000
-1.4078 5.9883 2.9553
1.8693 0.0000 2.9553
-0.8913 0.0000 4.7021
0.8987 1.7157 1.4331
0.8987 10.2609 1.4331
-0.4372 4.2726 4.4775
-0.4372 7.7040 4.4775
1.3529 5.9883 1.2085
2.3857 5.9883 4.7021
4.1758 4.2726 1.4331
4.1758 7.7040 1.4331
2.8398 1.7157 4.4775
2.8398 10.2609 4.4775
4.6299 0.0000 1.2085